Here is crystalline SmSiRu at its relaxed geometry from the Alexandria database. Energies are from PBE-GGA.

Output
The density of states at the Fermi level comes out at 2.58 states/eV/f.u. For the total DFT energy (no corrections), the calculation gives -7.08 eV/atom. The space-group type is P-6m2, No. 187. Its uncorrected formation energy is -0.6038 eV/atom.

The structure in POSCAR format:
```
SmSiRu
1.0
-1.124 -2.478 3.209
-1.307 -2.850 -2.659
3.892 -0.053 1.322
Ru Si Sm
1 1 1
direct
0.166 0.333 0.667 Ru
0.167 0.000 0.000 Si
0.667 0.667 0.333 Sm
```

Here is crystalline TiCrPb at its relaxed geometry from the Alexandria database. Energies are from PBE-GGA.

Output
The formation energy comes out at 0.2152 eV per atom. The density of states at the Fermi level comes out at 1.20 states/eV/f.u. For the total DFT energy (no corrections), the calculation gives -6.86 eV/atom. The space-group type is P-1, No. 2.

The structure in POSCAR format:
```
TiCrPb
1.0
-1.993 0.679 2.210
-0.392 -5.727 0.270
5.911 2.240 3.074
Pb Cr Ti
2 2 2
direct
0.860 0.872 0.727 Pb
0.140 0.128 0.273 Pb
0.405 0.672 0.000 Cr
0.595 0.328 0.000 Cr
0.847 0.354 0.684 Ti
0.153 0.646 0.316 Ti
```

Here is crystalline LiVHg at its relaxed geometry from the Alexandria database. Energies are from PBE-GGA.

Output
The formation energy comes out at 1.0424 eV per atom. The density of states at the Fermi level comes out at 3.85 states/eV/f.u. For the total DFT energy (no corrections), the calculation gives -2.74 eV/atom. The space-group type is P6_3/mmc, No. 194.

The structure in POSCAR format:
```
LiVHg
1.0
-0.454 -2.068 -3.621
-1.786 -1.476 3.497
-8.952 5.735 -2.152
V Hg Li
2 2 2
direct
0.000 0.000 0.000 V
0.000 0.000 0.500 V
0.000 0.000 0.250 Hg
0.000 0.000 0.750 Hg
0.333 0.667 0.250 Li
0.667 0.333 0.750 Li
```

Here is crystalline CsAgIF at its relaxed geometry from the Alexandria database. Energies are from PBE-GGA.

Output
The density of states at the Fermi level comes out at 0.00 states/eV/f.u. For the total DFT energy (no corrections), the calculation gives -3.23 eV/atom. The space-group type is P3m1, No. 156. Its uncorrected formation energy is -1.4445 eV/atom.

The structure in POSCAR format:
```
CsAgIF
1.0
-0.812 2.302 4.096
3.438 -3.296 -0.242
4.672 5.012 -1.891
Cs Ag I F
1 1 1 1
direct
0.905 0.810 0.785 Cs
0.238 0.477 0.223 Ag
0.572 0.144 0.335 I
0.239 0.477 0.896 F
```

Here is crystalline YInHg2 at its relaxed geometry from the Alexandria database. Energies are from PBE-GGA.

Output
The formation energy comes out at -0.2749 eV per atom. The density of states at the Fermi level comes out at 3.34 states/eV/f.u. For the total DFT energy (no corrections), the calculation gives -2.73 eV/atom. The space-group type is I-4m2, No. 119.

The structure in POSCAR format:
```
YInHg2
1.0
-2.227 3.557 -4.037
-5.821 -0.074 -0.142
3.941 0.644 4.238
Hg In Y
2 1 1
direct
0.000 0.000 0.000 Hg
0.250 0.750 0.500 Hg
0.500 0.500 0.000 In
0.750 0.250 0.500 Y
```

Here is crystalline TaNiRh at its relaxed geometry from the Alexandria database. Energies are from PBE-GGA.

Output
The formation energy comes out at 0.0669 eV per atom. The density of states at the Fermi level comes out at 1.80 states/eV/f.u. For the total DFT energy (no corrections), the calculation gives -8.26 eV/atom. The space-group type is F-43m, No. 216.

The structure in POSCAR format:
```
TaNiRh
1.0
4.165 0.000 0.000
2.082 3.607 0.000
2.082 1.202 3.400
Ni Rh Ta
1 1 1
direct
0.000 0.000 0.000 Ni
0.500 0.500 0.500 Rh
0.750 0.750 0.750 Ta
```

Here is crystalline Th2Pd3 at its relaxed geometry from the Alexandria database. Energies are from PBE-GGA.

Output
The formation energy comes out at -0.7033 eV per atom. The density of states at the Fermi level comes out at 3.36 states/eV/f.u. For the total DFT energy (no corrections), the calculation gives -6.79 eV/atom. The space-group type is R-3m, No. 166.

The structure in POSCAR format:
```
Th2Pd3
1.0
-1.140 -3.647 -2.448
0.383 -4.149 1.797
-6.465 -2.185 2.060
Th Pd
2 3
direct
0.411 0.411 0.766 Th
0.589 0.589 0.234 Th
0.000 0.000 0.000 Pd
0.846 0.846 0.463 Pd
0.154 0.154 0.537 Pd
```

Here is crystalline Os4Ru4W3 at its relaxed geometry from the Alexandria database. Energies are from PBE-GGA.

Output
The formation energy comes out at 0.0891 eV per atom. The density of states at the Fermi level comes out at 11.93 states/eV/f.u. For the total DFT energy (no corrections), the calculation gives -10.90 eV/atom. The space-group type is C2/m, No. 12.

The structure in POSCAR format:
```
Os4Ru4W3
1.0
-1.226 -0.959 2.260
-1.734 -2.745 -2.108
13.287 -7.475 2.374
Os Ru W
4 4 3
direct
0.091 0.091 0.182 Os
0.271 0.271 0.542 Os
0.729 0.729 0.458 Os
0.909 0.909 0.818 Os
0.547 0.547 0.093 Ru
0.453 0.453 0.907 Ru
0.817 0.817 0.634 Ru
0.183 0.183 0.366 Ru
0.637 0.637 0.273 W
0.363 0.363 0.727 W
0.000 0.000 0.000 W
```

Here is crystalline NaV at its relaxed geometry from the Alexandria database. Energies are from PBE-GGA.

Output
The formation energy comes out at 0.6378 eV per atom. The density of states at the Fermi level comes out at 2.02 states/eV/f.u. For the total DFT energy (no corrections), the calculation gives -4.58 eV/atom. The space-group type is Pmmn, No. 59.

The structure in POSCAR format:
```
NaV
1.0
-0.829 0.895 2.609
-1.234 -8.529 2.532
10.558 -0.483 3.522
Na V
6 6
direct
0.000 0.317 0.667 Na
0.500 0.683 0.833 Na
0.500 0.683 0.167 Na
0.000 0.317 0.333 Na
0.000 0.317 0.000 Na
0.500 0.683 0.500 Na
0.000 0.011 0.833 V
0.500 0.989 0.667 V
0.500 0.989 0.333 V
0.000 0.011 0.167 V
0.000 0.011 0.500 V
0.500 0.989 0.000 V
```

Here is crystalline KNd3F10 at its relaxed geometry from the Alexandria database. Energies are from PBE-GGA.

Output
The density of states at the Fermi level comes out at 0.00 states/eV/f.u. For the total DFT energy (no corrections), the calculation gives -6.37 eV/atom. The space-group type is Fm-3m, No. 225. Its uncorrected formation energy is -3.9338 eV/atom.

The structure in POSCAR format:
```
KNd3F10
1.0
-5.095 -4.935 4.832
0.685 0.204 8.553
-6.216 3.573 4.718
K Nd F
2 6 20
direct
0.250 0.250 0.250 K
0.750 0.750 0.750 K
0.740 0.740 0.260 Nd
0.740 0.260 0.740 Nd
0.260 0.740 0.740 Nd
0.260 0.260 0.740 Nd
0.740 0.260 0.260 Nd
0.260 0.740 0.260 Nd
0.000 0.000 0.330 F
0.000 0.330 0.000 F
0.330 0.000 0.000 F
0.670 0.330 0.000 F
0.388 0.388 0.388 F
0.164 0.612 0.612 F
0.388 0.836 0.388 F
0.670 0.000 0.330 F
0.388 0.388 0.836 F
0.836 0.388 0.388 F
0.612 0.612 0.164 F
0.000 0.000 0.670 F
0.330 0.670 0.000 F
0.000 0.670 0.330 F
0.000 0.330 0.670 F
0.670 0.000 0.000 F
0.612 0.612 0.612 F
0.000 0.670 0.000 F
0.612 0.164 0.612 F
0.330 0.000 0.670 F
```

Here is crystalline TcSeCl2 at its relaxed geometry from the Alexandria database. Energies are from PBE-GGA.

Output
The density of states at the Fermi level comes out at 1.93 states/eV/f.u. For the total DFT energy (no corrections), the calculation gives -4.48 eV/atom. The space-group type is I-42d, No. 122. Its uncorrected formation energy is -0.0934 eV/atom.

The structure in POSCAR format:
```
TcSeCl2
1.0
8.857 0.000 0.000
0.000 8.857 0.000
4.428 4.428 2.368
Tc Se Cl
2 2 4
direct
0.000 0.000 0.000 Tc
0.750 0.250 0.500 Tc
0.500 0.500 0.000 Se
0.250 0.750 0.500 Se
0.768 0.125 0.250 Cl
0.982 0.625 0.250 Cl
0.375 0.232 0.750 Cl
0.875 0.018 0.750 Cl
```

Here is crystalline Rb2CoBr6Cl at its relaxed geometry from the Alexandria database. Energies are from PBE-GGA.

Output
The density of states at the Fermi level comes out at 13.79 states/eV/f.u. For the total DFT energy (no corrections), the calculation gives -2.84 eV/atom. The space-group type is I4/mmm, No. 139. Its uncorrected formation energy is -0.7427 eV/atom.

The structure in POSCAR format:
```
Rb2CoBr6Cl
1.0
-1.254 -4.746 -5.712
7.341 -1.665 -0.228
2.196 -7.455 0.747
Co Br Rb Cl
1 6 2 1
direct
0.000 0.000 0.000 Co
0.208 0.208 0.583 Br
0.792 0.792 0.417 Br
0.232 0.232 0.000 Br
0.768 0.768 0.000 Br
0.768 0.232 0.000 Br
0.232 0.768 0.000 Br
0.750 0.250 0.500 Rb
0.250 0.750 0.500 Rb
0.500 0.500 0.000 Cl
```